The following is a DFT calculation (PBE-GGA) of a relaxed Dy5Y3N8 crystal.

```
data_Dy5Y3N8
_space_group_name_H-M_alt 'P 1'
_space_group_IT_number 1
_space_group_name_Hall 'P 1'
_cell_length_a 6.952
_cell_length_b 6.952
_cell_length_c 6.952
_cell_angle_alpha 60.00
_cell_angle_beta 60.00
_cell_angle_gamma 60.00
loop_
_atom_site_label
_atom_site_fract_x
_atom_site_fract_y
_atom_site_fract_z
Dy1 0.000 0.000 0.000
Dy2 0.000 0.500 0.500
Dy3 0.500 0.000 0.500
Dy4 0.500 0.500 0.000
Dy5 0.500 0.500 0.500
Y1 0.000 0.000 0.500
Y2 0.000 0.500 0.000
Y3 0.500 0.000 0.000
N1 0.250 0.250 0.250
N2 0.250 0.250 0.749
N3 0.250 0.749 0.250
N4 0.251 0.750 0.750
N5 0.749 0.250 0.250
N6 0.750 0.251 0.750
N7 0.750 0.750 0.251
N8 0.750 0.750 0.750
```

Results
For the density of states at the Fermi level, the calculation gives 0.5 states/eV/f.u. The crystal system is trigonal. The density is 8.3 Mg/m³. Its uncorrected formation energy is -1701 meV per atom.